1.
A plane-wave DFT calculation with GGA-PBE was carried out for a relaxed K2RbNaSe crystal.

Results
The calculation puts the spin magnetization at 0.0 μB per formula unit. Its density of states at the Fermi level is 1.92 states/eV/cell. Its energy above the lowest structure with this stoichiometry is 0.0442 eV/atom. The calculation puts the uncorrected formation energy at -0.52 eV/atom.

Lattice parameters (Å, degrees): 6.6088 6.6088 5.8173 90.00 90.00 90.00
Space group P4/mmm (No. 123)
Inequivalent atoms, fractional coordinates:
K 0.0000 0.5000 0.0000
Rb 0.0000 0.0000 0.5000
Na 0.5000 0.5000 0.5000
Se 0.5000 0.5000 0.0000


2.
A plane-wave DFT calculation with GGA-PBE was carried out for a relaxed Sc7Tl2Pb2 crystal.

Results
The calculation puts the spin magnetization at 1.6 μB per formula unit. The formation energy comes out at 0.2 eV/f.u. Its density of states at the Fermi level is 23.93 states/eV/cell.

Lattice parameters (Å, degrees): 7.9587 10.5660 7.1263 90.00 90.00 90.00
Space group Cmmm (No. 65)
Inequivalent atoms, fractional coordinates:
Sc 0.0000 0.0000 0.0000
Sc 0.0000 0.5000 0.2564
Sc 0.2500 0.2500 0.2871
Tl 0.0000 0.2857 0.0000
Pb 0.1890 0.0000 0.5000


3.
A plane-wave DFT calculation with GGA-PBE was carried out for a relaxed BaNi2BCl crystal.

Results
The calculation puts the spin magnetization at 0.0 μB per formula unit. Its density of states at the Fermi level is 1.00 states/eV/cell. The calculation puts the uncorrected formation energy at -0.28 eV/atom.

Lattice parameters (Å, degrees): 4.0535 4.0535 6.2455 90.00 90.00 90.00
Space group P4/mmm (No. 123)
Inequivalent atoms, fractional coordinates:
Ba 0.0000 0.0000 0.0000
Ni 0.0000 0.5000 0.5000
B 0.0000 0.0000 0.5000
Cl 0.5000 0.5000 0.0000


4.
A plane-wave DFT calculation with GGA-PBE was carried out for a relaxed BaH2RuO4 crystal.

Results
The calculation puts the spin magnetization at 0.0 μB per formula unit. Its density of states at the Fermi level is 6.78 states/eV/cell.

Lattice parameters (Å, degrees): 4.8554 6.0466 7.1425 90.00 90.00 90.00
Space group I222 (No. 23)
Inequivalent atoms, fractional coordinates:
Ba 0.0000 0.0000 0.0000
H 0.0000 0.5000 0.1559
Ru 0.0000 0.0000 0.5000
O 0.2186 0.4033 0.8347


no.,uncorrected energy (eV per atom)
1,-2.12
2,-5.11
3,-4.68
4,-5.98